1.
Computed, not measured: a geometry-optimized KLiBr2 structure at the GGA-PBEsol level of DFT.

The structure in POSCAR format:
```
KLiBr2
1.0
2.0537 1.1857 7.2984
-2.0537 1.1857 7.2984
0.0000 -2.3714 7.2984
K Li Br
1 1 2
Cartesian
0.0000 0.0000 0.0000 K
0.0000 0.0000 18.1930 Li
0.0000 0.0000 5.1206 Br
0.0000 0.0000 9.4432 Br
```

As for the spin magnetization: 0.00 μB per cell. As for the energy relative to the elements, uncorrected: -1578 meV/atom. The theoretical density comes out at 3.206 g cm⁻³.



2.
Computed, not measured: a geometry-optimized KLi2Br structure at the GGA-PBEsol level of DFT.

The structure in POSCAR format:
```
KLi2Br
1.0
4.1246 0.0000 0.0000
0.0000 2.0279 6.7864
0.0000 -2.0279 6.7864
K Li Br
1 2 1
Cartesian
0.0000 0.0000 0.0000 K
0.0000 0.0000 3.4532 Li
2.0623 0.0000 9.7404 Li
2.0623 0.0000 4.9833 Br
```

As for the spin magnetization: 0.00 μB per cell. As for the energy relative to the elements, uncorrected: -675 meV/atom. The theoretical density comes out at 1.944 g cm⁻³.



3.
Computed, not measured: a geometry-optimized KLiBr2 structure at the GGA-PBEsol level of DFT.

The structure in POSCAR format:
```
KLiBr2
1.0
2.0775 1.1995 7.1478
-2.0775 1.1995 7.1478
0.0000 -2.3989 7.1478
K Li Br
1 1 2
Cartesian
0.0000 0.0000 0.0000 K
0.0000 0.0000 10.7217 Li
0.0000 0.0000 5.0389 Br
0.0000 0.0000 16.4045 Br
```

As for the spin magnetization: 0.00 μB per cell. As for the energy relative to the elements, uncorrected: -1592 meV/atom. The theoretical density comes out at 3.198 g cm⁻³.



4.
Computed, not measured: a geometry-optimized K2LiBr structure at the GGA-PBEsol level of DFT.

The structure in POSCAR format:
```
K2LiBr
1.0
-2.0082 2.1362 9.9437
2.0082 -2.1362 9.9437
2.0082 2.1362 -9.9437
K Li Br
2 1 1
Cartesian
0.0000 0.0000 0.0000 K
0.0000 2.1362 4.0161 K
0.0000 0.0000 7.3351 Li
2.0082 0.0000 2.5834 Br
```

As for the spin magnetization: 0.00 μB per cell. As for the energy relative to the elements, uncorrected: -682 meV/atom. The theoretical density comes out at 1.606 g cm⁻³.



5.
Computed, not measured: a geometry-optimized KLi2Br structure at the GGA-PBEsol level of DFT.

The structure in POSCAR format:
```
KLi2Br
1.0
4.3497 0.0000 0.0000
0.0000 6.1763 0.0000
-0.0302 0.0000 4.5788
K Li Br
1 2 1
Cartesian
0.0000 0.0000 0.0000 K
1.1754 3.0881 3.3412 Li
3.1442 3.0881 1.2376 Li
2.1598 0.0000 2.2894 Br
```

As for the spin magnetization: 0.00 μB per cell. As for the energy relative to the elements, uncorrected: -545 meV/atom. The theoretical density comes out at 1.794 g cm⁻³.



6.
Computed, not measured: a geometry-optimized KLiBr2 structure at the GGA-PBEsol level of DFT.

The structure in POSCAR format:
```
KLiBr2
1.0
4.2408 0.0000 0.0000
0.0000 5.2385 0.0000
-0.0038 0.0000 5.2346
K Li Br
1 1 2
Cartesian
0.0000 0.0000 0.0000 K
2.1192 2.6192 2.6112 Li
2.0602 2.6192 5.2308 Br
2.1753 0.0000 2.6156 Br
```

As for the spin magnetization: 0.00 μB per cell. As for the energy relative to the elements, uncorrected: -1557 meV/atom. The theoretical density comes out at 2.939 g cm⁻³.



7.
Computed, not measured: a geometry-optimized KLiBr2 structure at the GGA-PBEsol level of DFT.

The structure in POSCAR format:
```
KLiBr2
1.0
-3.7284 3.7284 4.1978
3.7284 -3.7284 4.1978
3.7284 3.7284 -4.1978
K Li Br
2 2 4
Cartesian
0.0000 0.0000 0.0000 K
0.0000 3.7284 2.0989 K
3.7284 0.0000 2.0989 Li
0.0000 0.0000 4.1978 Li
1.8642 2.4034 -1.0494 Br
5.0534 1.8642 1.0494 Br
1.8642 1.3250 3.1483 Br
-1.3250 1.8642 5.2472 Br
```

As for the spin magnetization: 0.00 μB per cell. As for the energy relative to the elements, uncorrected: -1594 meV/atom. The theoretical density comes out at 2.929 g cm⁻³.



8.
Computed, not measured: a geometry-optimized KLiBr2 structure at the GGA-PBEsol level of DFT.

The structure in POSCAR format:
```
KLiBr2
1.0
6.9998 -2.0331 0.0000
6.9998 2.0331 0.0000
-0.2156 0.0000 4.5141
K Li Br
1 1 2
Cartesian
0.0000 0.0000 0.0000 K
3.5710 0.0000 1.3325 Li
5.8249 0.0000 2.2188 Br
9.6400 0.0000 0.2783 Br
```

As for the spin magnetization: 0.00 μB per cell. As for the energy relative to the elements, uncorrected: -1556 meV/atom. The theoretical density comes out at 2.660 g cm⁻³.



9.
Computed, not measured: a geometry-optimized K2LiBr structure at the GGA-PBEsol level of DFT.

The structure in POSCAR format:
```
K2LiBr
1.0
-2.1730 4.0008 5.7895
2.1730 -4.0008 5.7895
2.1730 4.0008 -5.7895
K Li Br
2 1 1
Cartesian
0.0000 0.0000 2.2254 K
0.0000 0.0000 9.3535 K
0.0000 4.0008 0.0000 Li
2.1730 0.0000 0.0000 Br
```

As for the spin magnetization: 0.00 μB per cell. As for the energy relative to the elements, uncorrected: -549 meV/atom. The theoretical density comes out at 1.361 g cm⁻³.



10.
Computed, not measured: a geometry-optimized K2LiSbBr6 structure at the GGA-PBEsol level of DFT.

The structure in POSCAR format:
```
K2LiSbBr6
1.0
0.0000 5.4151 5.4151
5.4151 0.0000 5.4151
5.4151 5.4151 0.0000
K Li Sb Br
2 1 1 6
Cartesian
2.7075 2.7075 2.7075 K
8.1226 8.1226 8.1226 K
0.0000 0.0000 0.0000 Li
5.4151 5.4151 5.4151 Sb
5.4151 5.4151 2.6521 Br
5.4151 2.6521 5.4151 Br
8.1781 5.4151 5.4151 Br
2.6521 5.4151 5.4151 Br
5.4151 8.1781 5.4151 Br
5.4151 5.4151 8.1781 Br
```

As for the spin magnetization: 0.00 μB per cell. As for the energy relative to the elements, uncorrected: -1212 meV/atom. The theoretical density comes out at 3.589 g cm⁻³.